(1)
Li2MnZnF6 | PBE with a Hubbard U | relaxed

Structure (POSCAR):
```
Li2MnZnF6
1.0
-3.0899 -3.1150 2.8530
-3.5647 -3.0196 -2.3580
0.9713 -5.5345 -0.1894
Li F Zn Mn
2 6 1 1
Direct
0.0215 0.0217 0.9350 Li
0.5224 0.5224 0.4326 Li
0.9151 0.6042 0.2525 F
0.6043 0.2282 0.2524 F
0.2282 0.9151 0.2527 F
0.4002 0.7225 0.7586 F
0.7224 0.1188 0.7585 F
0.1188 0.4002 0.7585 F
0.3154 0.3154 0.0540 Zn
0.8132 0.8132 0.5603 Mn
```

Values from the calculation:
Energy: -5.05 eV/atom
Space group: R3, No. 146
Volume: 112 Å³/f.u.
Spin magnetization: 5.00 μB/f.u.



(2)
TmFeO3 | PBE with a Hubbard U | relaxed

Structure (POSCAR):
```
TmFeO3
1.0
3.0349 -5.2566 0.0000
3.0349 5.2566 0.0000
0.0000 0.0000 11.7514
O Tm Fe
18 6 6
Direct
0.0000 0.3617 0.8363 O
0.3333 0.6667 0.5231 O
0.6667 0.3333 0.0231 O
0.0000 0.6950 0.6669 O
0.6667 0.3333 0.5231 O
0.3050 0.3050 0.6669 O
0.6383 0.0000 0.3363 O
0.6950 0.6950 0.1669 O
0.3050 0.0000 0.1669 O
0.0000 0.0000 0.4749 O
0.0000 0.6383 0.3363 O
0.0000 0.3050 0.1669 O
0.6950 0.0000 0.6669 O
0.3617 0.0000 0.8363 O
0.3333 0.6667 0.0231 O
0.0000 0.0000 0.9749 O
0.3617 0.3617 0.3363 O
0.6383 0.6383 0.8363 O
0.3333 0.6667 0.7325 Tm
0.6667 0.3333 0.7325 Tm
0.0000 0.0000 0.7759 Tm
0.6667 0.3333 0.2325 Tm
0.3333 0.6667 0.2325 Tm
0.0000 0.0000 0.2759 Tm
0.3339 0.0000 0.0007 Fe
0.3339 0.3339 0.5007 Fe
0.0000 0.3339 0.0007 Fe
0.6661 0.0000 0.5007 Fe
0.0000 0.6661 0.5007 Fe
0.6661 0.6661 0.0007 Fe
```

Values from the calculation:
Energy: -7.58 eV/atom
Space group: P6_3cm, No. 185
Volume: 62 Å³/f.u.
Spin magnetization: 5.00 μB/f.u.